Below is a relaxed Na3PAu crystal, with properties calculated at the GGA-PBE level.

a = 5.3808 Å, b = 5.3808 Å, c = 5.3808 Å
α = 90.00°, β = 90.00°, γ = 90.00°
With the nearest neighbours (Å) after each atom.
Positions (direct):
Na: 0.0000 0.0000 0.5000  2 P 2.69
Na: 0.0000 0.5000 0.0000  2 P 2.69
Na: 0.5000 0.0000 0.0000  2 P 2.69
P: 0.0000 0.0000 0.0000  6 Na 2.69
Au: 0.5000 0.5000 0.5000  12 Na 3.80

## Properties
formation enthalpy at 0 K: 29 meV per atom



Below is a relaxed Nb3IrRu5 crystal, with properties calculated at the GGA-PBE level.

a = 7.5603 Å, b = 7.5603 Å, c = 7.5603 Å
α = 121.07°, β = 121.07°, γ = 88.16°
With the nearest neighbours (Å) after each atom.
Positions (direct):
Nb: 0.1191 0.6191 0.7382  2 Ru 2.42, 1 Nb 2.51
Nb: 0.2500 0.2500 0.0000  10 Ru 2.72-2.99
Nb: 0.3809 0.1191 0.5000  2 Ru 2.42, 1 Nb 2.51
Nb: 0.6191 0.8809 0.5000  2 Ru 2.42, 1 Nb 2.51
Nb: 0.7500 0.7500 0.0000  10 Ru 2.72-2.99
Nb: 0.8809 0.3809 0.2618  2 Ru 2.42, 1 Nb 2.51
Ir: 0.2500 0.7500 0.5000  4 Ru 2.42
Ir: 0.7500 0.2500 0.5000  4 Ru 2.42
Ru: 0.0000 0.0000 0.0000  6 Nb 2.72-2.97
Ru: 0.0640 0.1739 0.5000  1 Nb 2.42, 1 Ir 2.42
Ru: 0.1739 0.6739 0.1100  1 Nb 2.42, 1 Ir 2.42
Ru: 0.3261 0.4360 0.5000  1 Nb 2.42, 1 Ir 2.42
Ru: 0.4360 0.9360 0.1100  1 Nb 2.42, 1 Ir 2.42
Ru: 0.5000 0.5000 0.0000  6 Nb 2.72-2.97
Ru: 0.5640 0.0640 0.8900  1 Nb 2.42, 1 Ir 2.42
Ru: 0.6739 0.5640 0.5000  1 Nb 2.42, 1 Ir 2.42
Ru: 0.8261 0.3261 0.8900  1 Nb 2.42, 1 Ir 2.42
Ru: 0.9360 0.8261 0.5000  1 Nb 2.42, 1 Ir 2.42

## Properties
formation enthalpy at 0 K: 438 meV per atom



Below is a relaxed LaNdZn crystal, with properties calculated at the GGA-PBE level.

a = 6.7787 Å, b = 6.7787 Å, c = 6.7787 Å
α = 147.73°, β = 147.73°, γ = 46.28°
With the nearest neighbours (Å) after each atom.
Positions (direct):
La: 0.0000 0.0000 0.0000  4 Zn 3.26, 1 Nd 3.59
Nd: 0.2878 0.2878 0.0000  4 Zn 3.17
Zn: 0.6504 0.6504 0.0000  4 Nd 3.17, 4 La 3.26

## Properties
formation enthalpy at 0 K: -197 meV per atom



Below is a relaxed Mg2HgSb2 crystal, with properties calculated at the GGA-PBE level.

a = 8.7568 Å, b = 8.7568 Å, c = 3.3379 Å
α = 90.00°, β = 90.00°, γ = 90.00°
With the nearest neighbours (Å) after each atom.
Positions (direct):
Mg: 0.1440 0.3560 0.0000  6 Sb 3.02-3.09, 2 Mg 3.34, 2 Hg 3.36
Mg: 0.3560 0.8560 0.0000  6 Sb 3.02-3.09, 2 Mg 3.34, 2 Hg 3.36
Mg: 0.6440 0.1440 0.0000  6 Sb 3.02-3.09, 2 Mg 3.34, 2 Hg 3.36
Mg: 0.8560 0.6440 0.0000  6 Sb 3.02-3.09, 2 Mg 3.34, 2 Hg 3.36
Hg: 0.0000 0.0000 0.0000  2 Hg 3.34, 4 Mg 3.36, 8 Sb 3.72
Hg: 0.5000 0.5000 0.0000  2 Hg 3.34, 4 Mg 3.36, 8 Sb 3.72
Sb: 0.1527 0.6527 0.5000  6 Mg 3.02-3.09, 2 Sb 3.34
Sb: 0.3473 0.1527 0.5000  6 Mg 3.02-3.09, 2 Sb 3.34
Sb: 0.6527 0.8473 0.5000  6 Mg 3.02-3.09, 2 Sb 3.34
Sb: 0.8473 0.3473 0.5000  6 Mg 3.02-3.09, 2 Sb 3.34

## Properties
formation energy from raw total energies: -0.13 eV/atom



Below is a relaxed TaCo2Br crystal, with properties calculated at the GGA-PBE level.

a = 3.1153 Å, b = 3.1153 Å, c = 7.4637 Å
α = 90.00°, β = 90.00°, γ = 90.00°
With the nearest neighbours (Å) after each atom.
Positions (direct):
Ta: 0.0000 0.0000 0.0000  5 Co 2.43-2.70
Co: 0.0000 0.0000 0.6748  4 Co 2.37, 1 Ta 2.43
Co: 0.5000 0.5000 0.7917  4 Co 2.37
Br: 0.5000 0.5000 0.2473  4 Ta 2.87, 4 Br 3.12

## Properties
formation energy from raw total energies: 0.30 eV/atom



Below is a relaxed BeNb2Cd2 crystal, with properties calculated at the GGA-PBE level.

a = 6.2233 Å, b = 6.2233 Å, c = 4.6539 Å
α = 90.00°, β = 90.00°, γ = 90.00°
With the nearest neighbours (Å) after each atom.
Positions (direct):
Be: 0.0000 0.0000 0.0000  4 Cd 2.36
Be: 0.5000 0.5000 0.0000  4 Cd 2.36
Nb: 0.1575 0.3425 0.5000  1 Nb 2.77, 6 Cd 2.86-3.03
Nb: 0.3425 0.8425 0.5000  1 Nb 2.77, 6 Cd 2.86-3.03
Nb: 0.6575 0.1575 0.5000  1 Nb 2.77, 6 Cd 2.86-3.03
Nb: 0.8425 0.6575 0.5000  1 Nb 2.77, 6 Cd 2.86-3.03
Cd: 0.1543 0.6543 0.0000  2 Be 2.36
Cd: 0.3457 0.1543 0.0000  2 Be 2.36
Cd: 0.6543 0.8457 0.0000  2 Be 2.36
Cd: 0.8457 0.3457 0.0000  2 Be 2.36

## Properties
formation enthalpy at 0 K: 566 meV per atom



Below is a relaxed LaNpPdS3 crystal, with properties calculated at the GGA-PBE level.

a = 8.0364 Å, b = 3.9492 Å, c = 8.6360 Å
α = 90.00°, β = 103.00°, γ = 90.00°
With the nearest neighbours (Å) after each atom.
Positions (direct):
La: 0.1792 0.2500 0.2437  7 S 2.96-3.12, 1 Pd 3.20
La: 0.8208 0.7500 0.7563  7 S 2.96-3.12, 1 Pd 3.20
Np: 0.3313 0.7500 0.8293  6 S 2.72-2.79
Np: 0.6687 0.2500 0.1707  6 S 2.72-2.79
Pd: 0.1033 0.2500 0.5919  3 S 2.44-2.51
Pd: 0.8967 0.7500 0.4081  3 S 2.44-2.51
S: 0.1009 0.2500 0.8735  1 Pd 2.44
S: 0.2529 0.7500 0.5063  3 Pd 2.51-2.80, 1 Np 2.72
S: 0.4227 0.7500 0.1585  3 Np 2.77-2.78, 2 La 2.99
S: 0.5773 0.2500 0.8415  3 Np 2.77-2.78, 2 La 2.99
S: 0.7471 0.2500 0.4937  3 Pd 2.51-2.80, 1 Np 2.72
S: 0.8991 0.7500 0.1265  1 Pd 2.44

## Properties
formation energy from raw total energies: -1.46 eV/atom



Below is a relaxed Sr4CaSe crystal, with properties calculated at the GGA-PBE level.

a = 7.4154 Å, b = 7.4154 Å, c = 7.4154 Å
α = 60.00°, β = 60.00°, γ = 60.00°
With the nearest neighbours (Å) after each atom.
Positions (direct):
Sr: 0.1249 0.1249 0.1249  6 Sr 3.70-3.71
Sr: 0.1249 0.1249 0.6254  6 Sr 3.70-3.71
Sr: 0.1249 0.6254 0.1249  6 Sr 3.70-3.71
Sr: 0.6254 0.1249 0.1249  6 Sr 3.70-3.71
Ca: 0.7500 0.7500 0.7500  12 Sr 4.35, 4 Se 4.54
Se: 0.5000 0.5000 0.5000  12 Sr 4.35, 4 Ca 4.54

## Properties
formation energy from raw total energies: 0.14 eV/atom



| no. | Fermi-level density of states (states/eV per cell) |
| --- | --- |
| 1 | 4.184 |
| 2 | 17.497 |
| 3 | 3.158 |
| 4 | 8.378 |
| 5 | 3.965 |
| 6 | 9.241 |
| 7 | 19.991 |
| 8 | 7.685 |